The following is a DFT calculation (GGA-PBE) of a relaxed Rb2PuGaO4 crystal.

Summary:
**E**: -6.8686 eV per atom
**Fermi-level density of states**: 13.5 states/eV per cell
**Theoretical density**: 5.61 Mg/m³
**Crystal system**: orthorhombic
**Total moment**: 0.62 μB per atom

Structure (POSCAR):
```
Rb2PuGaO4
1.0
6.3525 0.0000 0.0000
0.0000 7.3978 0.0000
0.0000 0.0000 6.9174
Rb Pu Ga O
4 2 2 8
Direct
0.2500 0.0033 0.2234 Rb
0.2500 0.4967 0.2234 Rb
0.7500 0.5033 0.7766 Rb
0.7500 0.9967 0.7766 Rb
0.2500 0.2500 0.6869 Pu
0.7500 0.7500 0.3131 Pu
0.2500 0.7500 0.6701 Ga
0.7500 0.2500 0.3299 Ga
0.0117 0.7500 0.5065 O
0.2500 0.5306 0.8069 O
0.2500 0.9694 0.8069 O
0.4883 0.7500 0.5065 O
0.5117 0.2500 0.4935 O
0.7500 0.0306 0.1931 O
0.7500 0.4694 0.1931 O
0.9883 0.2500 0.4935 O
```